The following is a GGA-PBE calculation of an optimized crystal structure of Hf2MnW, from the Alexandria database.

a b c (Å): 4.607 4.607 4.607
angles (deg): 60.00 60.00 60.00
Positions (direct):
Mn (0.000, 0.000, 0.000)
Hf (0.250, 0.250, 0.250)
Hf (0.750, 0.750, 0.750)
W (0.500, 0.500, 0.500)

The calculation puts the formation enthalpy at 0 K at 0.0953 eV per atom. As for the density of states at the Fermi level: 6.8 states/eV per cell. Its crystal system is cubic. The offset from the most stable computed form is 53 meV/atom. As for the space-group type: Fm-3m, No. 225.

---

The following is a GGA-PBE calculation of an optimized crystal structure of Y3HfMn, from the Alexandria database.

a b c (Å): 5.533 5.533 5.533
angles (deg): 90.00 90.00 90.00
Each line ends with the local moment (μB).
Positions (direct):
Y (0.000, 0.500, 0.000)  -0.05
Y (0.000, 0.000, 0.500)  -0.09
Y (0.500, 0.000, 0.000)  -0.09
Mn (0.500, 0.500, 0.500)  4.29
Hf (0.000, 0.000, 0.000)  -0.05

The calculation puts the formation enthalpy at 0 K at 1.0001 eV per atom. As for the density of states at the Fermi level: 3.9 states/eV per cell. Its crystal system is cubic. The offset from the most stable computed form is 435 meV/atom. As for the space-group type: Pm-3m, No. 221.

---

The following is a GGA-PBE calculation of an optimized crystal structure of YHfMn3, from the Alexandria database.

a b c (Å): 4.798 4.798 4.798
angles (deg): 90.00 90.00 90.00
Each line ends with the local moment (μB).
Positions (direct):
Y (0.500, 0.500, 0.500)  -0.16
Mn (0.000, 0.500, 0.000)  3.13
Mn (0.000, 0.000, 0.500)  2.83
Mn (0.500, 0.000, 0.000)  3.39
Hf (0.000, 0.000, 0.000)  -0.58

The calculation puts the formation enthalpy at 0 K at 0.8559 eV per atom. As for the density of states at the Fermi level: 4.9 states/eV per cell. Its crystal system is cubic. The offset from the most stable computed form is 0 meV/atom. As for the space-group type: Pm-3m, No. 221.

---

The following is a GGA-PBE calculation of an optimized crystal structure of YHfMn2, from the Alexandria database.

a b c (Å): 7.086 7.086 5.800
angles (deg): 52.34 52.34 90.00
Positions (direct):
Y (0.500, 0.500, 0.000)
Y (0.250, 0.750, 0.500)
Mn (0.644, 0.125, 0.250)
Mn (0.106, 0.625, 0.250)
Mn (0.375, 0.356, 0.750)
Mn (0.875, 0.894, 0.750)
Hf (0.000, 0.000, 0.000)
Hf (0.750, 0.250, 0.500)

The calculation puts the formation enthalpy at 0 K at 0.8236 eV per atom. As for the density of states at the Fermi level: 15.4 states/eV per cell. Its crystal system is tetragonal. The offset from the most stable computed form is 633 meV/atom. As for the space-group type: I-42d, No. 122.

---

The following is a GGA-PBE calculation of an optimized crystal structure of Y3HfMn, from the Alexandria database.

a b c (Å): 5.169 5.169 5.169
angles (deg): 90.00 90.00 90.00
Each line ends with the local moment (μB).
Positions (direct):
Y (0.000, 0.500, 0.000)  0.07
Y (0.000, 0.000, 0.500)  0.06
Y (0.500, 0.000, 0.000)  0.12
Mn (0.000, 0.000, 0.000)  0.04
Hf (0.500, 0.500, 0.500)  0.59

The calculation puts the formation enthalpy at 0 K at 0.5652 eV per atom. As for the density of states at the Fermi level: 7.9 states/eV per cell. Its crystal system is cubic. The offset from the most stable computed form is 0 meV/atom. As for the space-group type: Pm-3m, No. 221.

---

The following is a GGA-PBE calculation of an optimized crystal structure of YHfMn2, from the Alexandria database.

a b c (Å): 4.751 4.751 4.751
angles (deg): 60.00 60.00 60.00
Each line ends with the local moment (μB).
Positions (direct):
Y (0.000, 0.000, 0.000)  -0.20
Mn (0.250, 0.250, 0.250)  2.74
Mn (0.750, 0.750, 0.750)  2.74
Hf (0.500, 0.500, 0.500)  -0.63

The calculation puts the formation enthalpy at 0 K at 0.1910 eV per atom. As for the density of states at the Fermi level: 7.0 states/eV per cell. Its crystal system is cubic. The offset from the most stable computed form is 0 meV/atom. As for the space-group type: Fm-3m, No. 225.

---

The following is a GGA-PBE calculation of an optimized crystal structure of Hf2MnZn, from the Alexandria database.

a b c (Å): 3.027 3.027 9.857
angles (deg): 81.17 81.17 60.00
Each line ends with the local moment (μB).
Positions (direct):
Zn (0.500, 0.500, 0.500)  -0.02
Mn (0.000, 0.000, 0.000)  2.91
Hf (0.087, 0.087, 0.738)  -0.27
Hf (0.913, 0.913, 0.262)  -0.27

The calculation puts the formation enthalpy at 0 K at 0.4046 eV per atom. As for the density of states at the Fermi level: 3.5 states/eV per cell. Its crystal system is trigonal. As for the space-group type: R-3m, No. 166.

---

The following is a GGA-PBE calculation of an optimized crystal structure of Hf2MnZn, from the Alexandria database.

a b c (Å): 7.115 7.115 7.115
angles (deg): 38.96 152.72 152.73
Positions (direct):
Hf (0.000, 0.172, 0.172)
Hf (0.000, 0.828, 0.828)
Mn (0.000, 0.000, 0.000)
Zn (0.000, 0.500, 0.500)

The calculation puts the formation enthalpy at 0 K at 0.3843 eV per atom. As for the density of states at the Fermi level: 3.0 states/eV per cell. Its crystal system is tetragonal. As for the space-group type: I4/mmm, No. 139.

---

The following is a GGA-PBE calculation of an optimized crystal structure of Hf3MnZn, from the Alexandria database.

a b c (Å): 4.825 4.825 4.825
angles (deg): 90.00 90.00 90.00
Positions (direct):
Zn (0.000, 0.000, 0.000)
Mn (0.500, 0.500, 0.500)
Hf (0.000, 0.500, 0.000)
Hf (0.000, 0.000, 0.500)
Hf (0.500, 0.000, 0.000)

The calculation puts the formation enthalpy at 0 K at 1.2602 eV per atom. As for the density of states at the Fermi level: 12.8 states/eV per cell. Its crystal system is cubic. The offset from the most stable computed form is 822 meV/atom. As for the space-group type: Pm-3m, No. 221.

---

The following is a GGA-PBE calculation of an optimized crystal structure of HfMnZn3, from the Alexandria database.

a b c (Å): 4.491 4.491 4.491
angles (deg): 90.00 90.00 90.00
Each line ends with the local moment (μB).
Positions (direct):
Zn (0.000, 0.500, 0.000)  -0.01
Zn (0.000, 0.000, 0.500)  0.02
Zn (0.500, 0.000, 0.000)  -0.04
Mn (0.000, 0.000, 0.000)  1.86
Hf (0.500, 0.500, 0.500)  -0.25

The calculation puts the formation enthalpy at 0 K at 0.5967 eV per atom. As for the density of states at the Fermi level: 2.7 states/eV per cell. Its crystal system is cubic. The offset from the most stable computed form is 0 meV/atom. As for the space-group type: Pm-3m, No. 221.

---

The following is a GGA-PBE calculation of an optimized crystal structure of Hf3MnZn, from the Alexandria database.

a b c (Å): 4.766 4.766 4.766
angles (deg): 90.00 90.00 90.00
Positions (direct):
Zn (0.500, 0.500, 0.500)
Mn (0.000, 0.000, 0.000)
Hf (0.000, 0.500, 0.000)
Hf (0.000, 0.000, 0.500)
Hf (0.500, 0.000, 0.000)

The calculation puts the formation enthalpy at 0 K at 0.4385 eV per atom. As for the density of states at the Fermi level: 8.8 states/eV per cell. Its crystal system is cubic. The offset from the most stable computed form is 0 meV/atom. As for the space-group type: Pm-3m, No. 221.

---

The following is a GGA-PBE calculation of an optimized crystal structure of HfMn2Zn2, from the Alexandria database.

a b c (Å): 3.857 3.857 5.811
angles (deg): 70.62 70.62 90.00
Each line ends with the local moment (μB).
Positions (direct):
Zn (0.750, 0.250, 0.500)  0.01
Zn (0.250, 0.750, 0.500)  0.01
Mn (0.404, 0.404, 0.192)  1.19
Mn (0.596, 0.596, 0.808)  1.19
Hf (0.000, 0.000, 0.000)  -0.26

The calculation puts the formation enthalpy at 0 K at 0.1335 eV per atom. As for the density of states at the Fermi level: 2.6 states/eV per cell. Its crystal system is tetragonal. The offset from the most stable computed form is 29 meV/atom. As for the space-group type: I4/mmm, No. 139.